Computed, not measured: a geometry-optimized Pm2MnCdO6 structure at the PBE with a Hubbard U level of DFT.

Calculated values
Electronic total energy = -7.1209 eV/atom

The structure in POSCAR format:
```
Pm2MnCdO6
1.0
5.515 0.000 0.000
0.000 5.882 0.000
-5.460 0.000 7.973
Pm Mn Cd O
4 2 2 12
Cartesian
-0.100 0.390 1.967
-2.830 2.551 5.954
2.884 3.331 2.019
0.154 5.492 6.006
2.757 0.000 0.000
0.027 2.941 3.987
-2.730 0.000 3.987
0.000 2.941 0.000
-4.289 1.027 7.550
-1.558 1.914 3.564
-3.636 4.241 7.408
-0.906 4.582 3.421
-2.054 0.306 6.163
0.676 2.635 2.176
-0.622 3.247 5.797
2.109 5.576 1.810
0.960 1.300 4.552
3.690 1.641 0.565
1.613 3.968 4.409
4.343 4.855 0.423
```